Computed, not measured: a crystal of CsNaSi2O5 relaxed with PBEsol at the meta-GGA SCAN level of DFT. Values from VASP.

```
&SYSTEM
  ibrav = 0, nat = 72, ntyp = 4
/
ATOMIC_SPECIES
Cs 132.91 Cs.upf
Na 22.99 Na.upf
Si 28.09 Si.upf
O 16.00 O.upf
ATOMIC_POSITIONS crystal
Cs 0.0166 0.2475 0.0000
Cs 0.2343 0.7358 0.3672
Cs 0.2657 0.2358 0.8672
Cs 0.4834 0.7475 0.5000
Cs 0.5166 0.2525 0.0000
Cs 0.7343 0.7642 0.3672
Cs 0.7657 0.2642 0.8672
Cs 0.9834 0.7525 0.5000
Na 0.0966 0.2449 0.2713
Na 0.1537 0.7399 0.0951
Na 0.3463 0.2399 0.5951
Na 0.4034 0.7449 0.7713
Na 0.5966 0.2551 0.2713
Na 0.6537 0.7601 0.0951
Na 0.8463 0.2601 0.5951
Na 0.9034 0.7551 0.7713
Si 0.0250 0.2777 0.7222
Si 0.1050 0.7728 0.8191
Si 0.1447 0.2195 0.5472
Si 0.2247 0.7152 0.6441
Si 0.2753 0.2152 0.1441
Si 0.3553 0.7195 0.0472
Si 0.3950 0.2728 0.3191
Si 0.4750 0.7777 0.2222
Si 0.5250 0.2223 0.7222
Si 0.6050 0.7272 0.8191
Si 0.6447 0.2805 0.5472
Si 0.7247 0.7848 0.6441
Si 0.7753 0.2848 0.1441
Si 0.8553 0.7805 0.0472
Si 0.8950 0.2272 0.3191
Si 0.9750 0.7223 0.2222
O 0.0346 0.5925 0.7653
O 0.0629 0.2789 0.6090
O 0.0645 0.8039 0.2215
O 0.0818 0.0927 0.7947
O 0.1153 0.7240 0.9348
O 0.1344 0.2684 0.4316
O 0.1677 0.8996 0.5717
O 0.1859 0.2982 0.1447
O 0.1869 0.7137 0.7574
O 0.2152 0.4004 0.6007
O 0.2848 0.9004 0.1007
O 0.3131 0.2137 0.2574
O 0.3141 0.7982 0.6447
O 0.3323 0.3996 0.0717
O 0.3656 0.7684 0.9316
O 0.3847 0.2240 0.4348
O 0.4182 0.5927 0.2947
O 0.4355 0.3039 0.7215
O 0.4371 0.7789 0.1090
O 0.4654 0.0925 0.2653
O 0.5346 0.9075 0.7653
O 0.5629 0.2211 0.6090
O 0.5645 0.6961 0.2215
O 0.5818 0.4073 0.7947
O 0.6153 0.7760 0.9348
O 0.6344 0.2316 0.4316
O 0.6677 0.6004 0.5717
O 0.6859 0.2018 0.1447
O 0.6869 0.7863 0.7574
O 0.7152 0.0996 0.6007
O 0.7848 0.5996 0.1007
O 0.8131 0.2863 0.2574
O 0.8141 0.7018 0.6447
O 0.8323 0.1004 0.0717
O 0.8656 0.7316 0.9316
O 0.8847 0.2760 0.4348
O 0.9182 0.9073 0.2947
O 0.9355 0.1961 0.7215
O 0.9371 0.7211 0.1090
O 0.9654 0.4075 0.2653
CELL_PARAMETERS angstrom
17.1435 0.0000 0.0000
0.0000 4.9225 0.0000
0.0000 0.0000 13.3991
```

Computed, not measured: a crystal of CsNa3TiO4 relaxed with PBEsol at the meta-GGA SCAN level of DFT. Values from VASP.

```
&SYSTEM
  ibrav = 0, nat = 36, ntyp = 4
/
ATOMIC_SPECIES
Cs 132.91 Cs.upf
Na 22.99 Na.upf
Ti 47.87 Ti.upf
O 16.00 O.upf
ATOMIC_POSITIONS crystal
Cs 0.0310 0.3817 0.3734
Cs 0.0412 0.1357 0.1265
Cs 0.9588 0.8643 0.8735
Cs 0.9690 0.6183 0.6266
Na 0.1842 0.4443 0.8977
Na 0.1997 0.9441 0.3954
Na 0.2037 0.1669 0.6454
Na 0.4307 0.0423 0.8754
Na 0.4593 0.5705 0.3749
Na 0.4933 0.3336 0.1080
Na 0.5067 0.6664 0.8920
Na 0.5407 0.4295 0.6251
Na 0.5693 0.9577 0.1246
Na 0.7963 0.8331 0.3546
Na 0.8003 0.0559 0.6046
Na 0.8158 0.5557 0.1023
Ti 0.1650 0.7152 0.1450
Ti 0.4210 0.7869 0.6375
Ti 0.5790 0.2131 0.3625
Ti 0.8350 0.2848 0.8550
O 0.1141 0.1990 0.8557
O 0.1786 0.7140 0.3058
O 0.1810 0.9170 0.6027
O 0.1995 0.5165 0.0889
O 0.3296 0.6222 0.7476
O 0.3487 0.8387 0.0409
O 0.4104 0.3121 0.4952
O 0.4254 0.1162 0.2844
O 0.5746 0.8838 0.7156
O 0.5896 0.6879 0.5048
O 0.6513 0.1613 0.9591
O 0.6704 0.3778 0.2524
O 0.8005 0.4835 0.9111
O 0.8190 0.0830 0.3973
O 0.8214 0.2860 0.6942
O 0.8859 0.8010 0.1443
CELL_PARAMETERS angstrom
6.5097 0.0000 0.0000
1.5386 8.3722 0.0000
2.7090 0.9979 10.8947
```

Which total magnetization belongs to each record? In order, 0.02 0.43 μB per cell.
Which formation energy (no corrections) belongs to each record? In order, -2.77 -2.31 eV per atom.
Which electronic total energy belongs to each record? In order, -944.9 -448.7 eV per cell.